Density functional theory data (GGA-PBE) for a geometry-optimized AcCo3 structure.

* ΔH_f (0 K): 2.17 eV per formula unit
* total magnetization: 0.791 μB/atom

a = 4.010 Å, b = 4.010 Å, c = 4.010 Å
α = 90.00°, β = 90.00°, γ = 90.00°
Space group Pm-3m (No. 221)
Asymmetric unit:
Ac 0.000 0.000 0.000 x1
Co 0.000 0.500 0.500 x3

***

Density functional theory data (GGA-PBE) for a geometry-optimized AcCo structure.

* ΔH_f (0 K): 1.34 eV per formula unit
* total magnetization: 0.000 μB/atom

a = 4.4220 Å, b = 4.4220 Å, c = 7.0558 Å
α = 90.00°, β = 90.00°, γ = 120.00°
Space group P6_3mc (No. 186)
Asymmetric unit:
Ac 0.3333 0.6667 0.0000 x2
Co 0.3333 0.6667 0.3746 x2

***

Density functional theory data (GGA-PBE) for a geometry-optimized Ac3Co structure.

* ΔH_f (0 K): 2.15 eV per formula unit
* total magnetization: 0.002 μB/atom
* excess energy over the best structure of this formula in the dataset: 1.180 eV per formula unit

a = 4.907 Å, b = 4.907 Å, c = 10.997 Å
α = 90.00°, β = 90.00°, γ = 90.00°
Space group I4/mmm (No. 139)
Asymmetric unit:
Ac 0.000 0.000 0.000 x2
Ac 0.000 0.500 0.250 x4
Co 0.000 0.000 0.500 x2

***

Density functional theory data (GGA-PBE) for a geometry-optimized CsAcCo structure.

* total magnetization: 0.274 μB/atom
* excess energy over the best structure of this formula in the dataset: 0.000 eV per formula unit

a = 7.547 Å, b = 7.547 Å, c = 7.547 Å
α = 90.00°, β = 90.00°, γ = 90.00°
Space group F-43m (No. 216)
Asymmetric unit:
Cs 0.000 0.000 0.000 x4
Ac 0.250 0.250 0.750 x4
Co 0.000 0.000 0.500 x4

***

Density functional theory data (GGA-PBE) for a geometry-optimized CsAcCo structure.

* total magnetization: 0.351 μB/atom
* excess energy over the best structure of this formula in the dataset: 0.637 eV per formula unit

a = 7.445 Å, b = 7.445 Å, c = 7.445 Å
α = 90.00°, β = 90.00°, γ = 90.00°
Space group F-43m (No. 216)
Asymmetric unit:
Cs 0.000 0.000 0.000 x4
Ac 0.250 0.250 0.250 x4
Co 0.250 0.250 0.750 x4

***

Density functional theory data (GGA-PBE) for a geometry-optimized AcCoCu structure.

* ΔH_f (0 K): 2.57 eV per formula unit
* total magnetization: 0.327 μB/atom

a = 6.725 Å, b = 6.725 Å, c = 6.725 Å
α = 90.00°, β = 90.00°, γ = 90.00°
Space group F-43m (No. 216)
Asymmetric unit:
Ac 0.000 0.000 0.000 x4
Co 0.250 0.250 0.750 x4
Cu 0.250 0.250 0.250 x4

***

Density functional theory data (GGA-PBE) for a geometry-optimized AcGa5Co2 structure.

* total magnetization: 0.000 μB/atom
* energy: -4.614 eV/atom

a = 4.077 Å, b = 6.983 Å, c = 9.949 Å
α = 90.00°, β = 90.00°, γ = 90.00°
Space group Immm (No. 71)
Asymmetric unit:
Ac 0.000 0.000 0.000 x2
Ga 0.000 0.191 0.337 x8
Ga 0.000 0.500 0.000 x2
Co 0.000 0.500 0.230 x4

***

Density functional theory data (GGA-PBE) for a geometry-optimized AcCoGe structure.

* total magnetization: 0.433 μB/atom
* excess energy over the best structure of this formula in the dataset: 0.000 eV per formula unit

a = 6.562 Å, b = 6.562 Å, c = 6.562 Å
α = 90.00°, β = 90.00°, γ = 90.00°
Space group F-43m (No. 216)
Asymmetric unit:
Ac 0.000 0.000 0.000 x4
Co 0.250 0.250 0.250 x4
Ge 0.000 0.000 0.500 x4